Entry 1:
Compound: Zn3Ag2Au5
Source: Alexandria via LeMat-Bulk
Functional: PBE
Structure: optimized geometry

Results
**ΔE_f**: -0.1344 eV per atom
**Space group**: C2/c, No. 15
**Crystal system**: monoclinic
**Distance to the lowest polymorph of the same formula**: 0 meV/atom

Cell: 5.6265 7.9850 7.9851 Å, 105.62 92.93 92.93°
Closest atoms and distances in Å follow each position.
Atoms (fractional coordinates):
Ag1 0.1235 0.3855 0.8661  2 Ag 2.88-2.92, 7 Au 2.89-3.19, 5 Zn 3.03-3.18
Zn1 0.2500 0.0378 0.9622  8 Au 2.69-2.89, 2 Zn 2.97
Au1 0.3955 0.7235 0.0405  3 Zn 2.57-2.78, 1 Au 2.85
Au2 0.1045 0.9595 0.2765  3 Zn 2.57-2.78, 1 Au 2.85
Zn2 0.1125 0.7756 0.4951  6 Au 2.57-2.79
Au3 0.7500 0.5366 0.4634  4 Zn 2.68-2.75, 4 Au 2.96-2.98, 2 Ag 2.97
Ag2 0.8765 0.6145 0.1339  2 Ag 2.88-2.92, 7 Au 2.89-3.19, 5 Zn 3.03-3.18
Ag3 0.3766 0.1339 0.6145  2 Ag 2.88-2.92, 7 Au 2.89-3.19, 5 Zn 3.03-3.18
Zn3 0.3875 0.5049 0.2244  6 Au 2.57-2.79
Au4 0.9896 0.7193 0.8108  4 Zn 2.66-2.80, 2 Au 2.85-2.90, 1 Ag 2.94
Au5 0.8955 0.0405 0.7235  3 Zn 2.57-2.78, 1 Au 2.85
Au6 0.0104 0.2807 0.1892  4 Zn 2.66-2.80, 2 Au 2.85-2.90, 1 Ag 2.94
Au7 0.4896 0.8108 0.7194  4 Zn 2.66-2.80, 2 Au 2.85-2.90, 1 Ag 2.94
Zn4 0.7500 0.9622 0.0378  8 Au 2.69-2.89, 2 Zn 2.97
Ag4 0.6234 0.8661 0.3855  2 Ag 2.88-2.92, 7 Au 2.89-3.19, 5 Zn 3.03-3.18
Zn5 0.6125 0.4951 0.7756  6 Au 2.57-2.79
Zn6 0.8875 0.2244 0.5049  6 Au 2.57-2.79
Au8 0.2500 0.4634 0.5366  4 Zn 2.68-2.75, 4 Au 2.96-2.98, 2 Ag 2.97
Au9 0.6045 0.2765 0.9595  3 Zn 2.57-2.78, 1 Au 2.85
Au10 0.5104 0.1892 0.2806  4 Zn 2.66-2.80, 2 Au 2.85-2.90, 1 Ag 2.94

=====

Entry 2:
Compound: LaMo2Br
Source: Alexandria via LeMat-Bulk
Functional: PBE
Structure: optimized geometry

Results
**Space group**: Cmmm, No. 65
**Crystal system**: orthorhombic
**Distance to the lowest polymorph of the same formula**: 927 meV/atom

Cell: 3.1877 3.1877 9.0492 Å, 90.00 90.00 118.53°
Closest atoms and distances in Å follow each position.
Atoms (fractional coordinates):
Mo1 0.0000 0.0000 0.0040  2 Br 2.76, 2 La 2.82
La1 0.5000 0.5000 0.7500  4 Mo 2.82
Br1 0.5000 0.5000 0.2500  4 Mo 2.76
Mo2 0.0000 0.0000 0.4960  2 Br 2.76, 2 La 2.82

=====

Entry 3:
Compound: LiLuGaFe
Source: Alexandria via LeMat-Bulk
Functional: PBE
Structure: optimized geometry

Results
**ΔE_f**: -0.0789 eV per atom
**Space group**: F-43m, No. 216
**Crystal system**: cubic

Cell: 4.4470 4.4470 4.4470 Å, 60.00 60.00 60.00°
Closest atoms and distances in Å follow each position.
Atoms (fractional coordinates):
Lu1 0.7500 0.7500 0.7500  4 Fe 2.72, 4 Li 2.72
Fe1 0.0000 0.0000 0.0000  4 Lu 2.72, 4 Ga 2.72
Li1 0.5000 0.5000 0.5000  4 Ga 2.72, 4 Lu 2.72
Ga1 0.2500 0.2500 0.2500  4 Fe 2.72, 4 Li 2.72

=====

Entry 4:
Compound: MnSbAs4
Source: Alexandria via LeMat-Bulk
Functional: PBE
Structure: optimized geometry

Results
**Space group**: F-43m, No. 216
**Crystal system**: cubic
**Calculated total energy**: -4.7683 eV/atom

Cell: 5.6310 5.6310 5.6310 Å, 60.00 60.00 60.00°
Closest atoms and distances in Å follow each position.
Atoms (fractional coordinates):
As1 0.3764 0.8707 0.3764  6 As 2.78-2.85
Sb1 0.0000 0.0000 0.0000  12 As 3.30, 4 Mn 3.45
As2 0.8707 0.3764 0.3764  6 As 2.78-2.85
As3 0.3764 0.3764 0.3764  6 As 2.78-2.85
Mn1 0.7500 0.7500 0.7500  12 As 3.30, 4 Sb 3.45
As4 0.3764 0.3764 0.8707  6 As 2.78-2.85

=====

Entry 5:
Compound: AcCd2PdPt2
Source: Alexandria via LeMat-Bulk
Functional: PBE
Structure: optimized geometry

Results
**ΔE_f**: -0.2221 eV per atom
**Space group**: I4/mmm, No. 139
**Crystal system**: tetragonal

Cell: 5.3434 5.3434 6.6349 Å, 113.75 113.75 90.00°
Closest atoms and distances in Å follow each position.
Atoms (fractional coordinates):
Ac1 0.5000 0.5000 0.0000  2 Pt 2.83
Pt1 0.7595 0.7595 0.5190  1 Pd 2.62, 4 Cd 2.67, 1 Ac 2.83
Pd1 0.0000 0.0000 0.0000  2 Pt 2.62
Pt2 0.2405 0.2405 0.4810  1 Pd 2.62, 4 Cd 2.67, 1 Ac 2.83
Cd1 0.7500 0.2500 0.5000  4 Pt 2.67
Cd2 0.2500 0.7500 0.5000  4 Pt 2.67

=====

Entry 6:
Compound: Dy3TiAg3Se8
Source: Alexandria via LeMat-Bulk
Functional: PBE
Structure: optimized geometry

Results
**Space group**: C2/m, No. 12
**Crystal system**: monoclinic
**Calculated total energy**: -4.9923 eV/atom

Cell: 8.1147 8.1153 8.1636 Å, 119.98 90.00 120.00°
Closest atoms and distances in Å follow each position.
Atoms (fractional coordinates):
Ti1 0.0000 0.0000 0.5000  6 Se 2.63
Se1 0.2306 0.0012 0.2730  1 Ti 2.63, 2 Dy 2.87, 2 Ag 2.89-2.90
Se2 0.7496 0.4993 0.7477  3 Dy 2.87, 3 Ag 2.87-2.89
Se3 0.7706 0.5413 0.2731  1 Ti 2.63, 2 Dy 2.87, 2 Ag 2.90
Ag1 0.0000 0.0000 0.0000  6 Se 2.87-2.90
Se4 0.2504 0.5007 0.2523  3 Dy 2.87, 3 Ag 2.87-2.89
Dy1 0.0000 0.5000 0.5000  6 Se 2.87
Ag2 0.0000 0.5000 0.0000  6 Se 2.89-2.90
Se5 0.2293 0.9988 0.7270  1 Ti 2.63, 2 Dy 2.87, 2 Ag 2.89-2.90
Ag3 0.5000 0.5000 0.0000  6 Se 2.89-2.90
Dy2 0.5000 0.5000 0.5000  6 Se 2.87
Se6 0.2294 0.4587 0.7269  1 Ti 2.63, 2 Dy 2.87, 2 Ag 2.90
Dy3 0.5000 0.0000 0.5000  6 Se 2.87
Se7 0.7694 0.9988 0.7270  1 Ti 2.63, 2 Dy 2.87, 2 Ag 2.89-2.90
Se8 0.7707 0.0012 0.2730  1 Ti 2.63, 2 Dy 2.87, 2 Ag 2.89-2.90

=====

Entry 7:
Compound: RbZn4Ag3Cl12
Source: Alexandria via LeMat-Bulk
Functional: PBE
Structure: optimized geometry

Results
**Space group**: R32, No. 155
**Crystal system**: trigonal
**Calculated total energy**: -2.7954 eV/atom

Cell: 8.8670 8.8670 8.8670 Å, 105.72 105.72 105.72°
Closest atoms and distances in Å follow each position.
Atoms (fractional coordinates):
Cl1 0.7809 0.0571 0.6555  1 Zn 2.21
Cl2 0.5000 0.3437 0.6563  1 Zn 2.21
Ag1 0.5564 0.4436 0.0000  6 Cl 2.74-2.84
Cl3 0.9054 0.5000 0.0946  1 Zn 2.21
Zn1 0.0615 0.5000 0.9385  3 Cl 2.21
Cl4 0.6555 0.7809 0.0571  1 Zn 2.21
Zn2 0.5000 0.5000 0.5000  3 Cl 2.21
Ag2 0.0000 0.5564 0.4436  6 Cl 2.74-2.84
Cl5 0.3445 0.9429 0.2191  1 Zn 2.21
Cl6 0.6563 0.5000 0.3437  1 Zn 2.21
Cl7 0.0571 0.6555 0.7809  1 Zn 2.21
Cl8 0.9429 0.2191 0.3445  1 Zn 2.21
Cl9 0.3437 0.6563 0.5000  1 Zn 2.21
Rb1 0.0000 0.0000 0.0000  6 Cl 3.39
Cl10 0.0946 0.9054 0.5000  1 Zn 2.21
Zn3 0.9385 0.0615 0.5000  3 Cl 2.21
Ag3 0.4436 0.0000 0.5564  6 Cl 2.74-2.84
Cl11 0.5000 0.0946 0.9054  1 Zn 2.21
Cl12 0.2191 0.3445 0.9429  1 Zn 2.21
Zn4 0.5000 0.9385 0.0615  3 Cl 2.21

=====

Entry 8:
Compound: LiLaMg2Ir
Source: Alexandria via LeMat-Bulk
Functional: PBE
Structure: optimized geometry

Results
**ΔE_f**: -0.2099 eV per atom
**Space group**: P4/mmm, No. 123
**Crystal system**: tetragonal

Cell: 5.1907 5.1907 5.3684 Å, 90.00 90.00 90.00°
Closest atoms and distances in Å follow each position.
Atoms (fractional coordinates):
La1 0.0000 0.0000 0.5000  2 Ir 2.68
Mg1 0.5000 0.0000 0.0000  2 Ir 2.60
Ir1 0.0000 0.0000 0.0000  4 Mg 2.60, 2 La 2.68
Li1 0.5000 0.5000 0.5000  4 La 3.67, 8 Mg 3.73
Mg2 0.0000 0.5000 0.0000  2 Ir 2.60

=====

no.,volume (Å³/cell)
1,344.3
2,80.8
3,62.2
4,126.2
5,155.7
6,380.3
7,599.7
8,144.6